Entry 1:
Density functional theory data (PBEsol) for crystalline ZrTc2Mo at its relaxed geometry.

extended XYZ file:
```
4
Lattice="3.146 0.000 0.000 0.000 3.146 0.000 0.000 0.000 6.402" Properties=species:S:1:pos:R:3 pbc="T T T"
Tc 0.000 0.000 4.704
Tc 0.000 0.000 1.698
Mo 1.573 1.573 3.201
Zr 1.573 1.573 0.000
```

Summary:
ΔE_f, eV per atom: -0.1946
DOS(E_F), states/eV/f.u.: 1.24

---

Entry 2:
Density functional theory data (PBEsol) for crystalline ZrTc2Mo at its relaxed geometry.

extended XYZ file:
```
4
Lattice="-3.116 -0.290 0.322 0.587 -1.843 4.013 1.081 5.153 -0.264" Properties=species:S:1:pos:R:3 pbc="T T T"
Tc 0.292 -0.904 2.015
Tc -0.094 2.077 0.968
Mo -1.354 0.921 3.094
Zr -1.558 -0.142 0.163
```

Summary:
ΔE_f, eV per atom: -0.0899
DOS(E_F), states/eV/f.u.: 2.77

---

Entry 3:
Density functional theory data (PBEsol) for crystalline ZrTc3Mo at its relaxed geometry.

extended XYZ file:
```
5
Lattice="4.553 0.000 0.000 0.000 4.553 0.000 0.000 0.000 4.553" Properties=species:S:1:pos:R:3 pbc="T T T"
Tc 2.276 0.000 0.000
Tc 0.000 2.276 0.000
Tc 0.000 0.000 2.276
Mo 2.276 2.276 2.276
Zr 0.000 0.000 0.000
```

Summary:
ΔE_f, eV per atom: 2.1929
DOS(E_F), states/eV/f.u.: 6.39